No. 1
The following is a PBE calculation of CdIn2W after structural relaxation, from Alexandria via LeMat-Bulk.

Lattice parameters (Å, degrees): 5.3787 5.3787 5.4621 83.43 83.43 31.60
Last column: nearest neighbours and their distance in Å.
Fractional positions:
In (0.9866, 0.9866, 0.0134)  6 In 2.93-3.21, 3 Cd 2.98-3.27, 3 W 3.01-3.15
In (0.5134, 0.5134, 0.4866)  6 In 2.93-3.21, 3 Cd 2.98-3.27, 3 W 3.01-3.15
Cd (0.7500, 0.7500, 0.7500)  2 Cd 2.93, 6 In 2.98-3.27, 4 W 3.10
W (0.2500, 0.2500, 0.2500)  2 W 2.93, 6 In 3.01-3.15, 4 Cd 3.10

## Properties
DOS(E_F) ... 1.4 states/eV/f.u.
Magnetization ... 0.000 μB per cell
E_form ... 0.5329 eV per atom
Crystal system ... monoclinic
Total energy ... -17.21 eV per cell

No. 2
The following is a PBE calculation of SnNF2 after structural relaxation, from Alexandria via LeMat-Bulk.

Lattice parameters (Å, degrees): 4.2931 4.2931 4.2931 60.00 60.00 60.00
Last column: nearest neighbours and their distance in Å.
Fractional positions:
Sn (0.5000, 0.5000, 0.5000)  8 F 2.63
F (0.7500, 0.7500, 0.7500)  4 Sn 2.63, 4 N 2.63
F (0.2500, 0.2500, 0.2500)  4 Sn 2.63, 4 N 2.63
N (0.0000, 0.0000, 0.0000)  8 F 2.63

## Properties
DOS(E_F) ... 0.0 states/eV/f.u.
Magnetization ... 3.000 μB per cell
Crystal system ... cubic
Total energy ... -17.09 eV per cell
E_form (uncorrected) ... -0.254 eV per atom

No. 3
The following is a PBE calculation of RbYAsBr2 after structural relaxation, from Alexandria via LeMat-Bulk.

Lattice parameters (Å, degrees): 5.7085 5.7085 5.6110 90.00 90.00 90.00
Last column: nearest neighbours and their distance in Å.
Fractional positions:
As (0.0000, 0.0000, 0.5000)  2 Y 2.81
Rb (0.5000, 0.5000, 0.5000)  8 Br 4.00, 4 As 4.04
Br (0.0000, 0.5000, 0.0000)  2 Y 2.85
Br (0.5000, 0.0000, 0.0000)  2 Y 2.85
Y (0.0000, 0.0000, 0.0000)  2 As 2.81, 4 Br 2.85

## Properties
DOS(E_F) ... 4.3 states/eV/f.u.
Magnetization ... 1.002 μB per cell
Crystal system ... tetragonal
Total energy ... -21.38 eV per cell
E_form (uncorrected) ... -1.191 eV per atom

No. 4
The following is a PBE calculation of CeSmCu2Ge2 after structural relaxation, from Alexandria via LeMat-Bulk.

Lattice parameters (Å, degrees): 4.2661 4.2661 7.7927 90.00 90.00 120.00
Last column: nearest neighbours and their distance in Å.
Fractional positions:
Cu (0.3333, 0.6667, 0.7513)  3 Ge 2.46
Cu (0.6667, 0.3333, 0.2487)  3 Ge 2.46
Ge (0.6667, 0.3333, 0.7479)  3 Cu 2.46
Ge (0.3333, 0.6667, 0.2521)  3 Cu 2.46
Sm (0.0000, 0.0000, 0.0000)  6 Cu 3.13, 6 Ge 3.15
Ce (0.0000, 0.0000, 0.5000)  6 Ge 3.13, 6 Cu 3.15

## Properties
DOS(E_F) ... 6.5 states/eV/f.u.
Magnetization ... 0.931 μB per cell
E_form ... -0.6289 eV per atom
Crystal system ... trigonal
Total energy ... -31.85 eV per cell

No. 5
The following is a PBE calculation of Fe2BiPd8 after structural relaxation, from Alexandria via LeMat-Bulk.

Lattice parameters (Å, degrees): 4.0253 6.3232 7.3822 105.38 105.82 90.00
Last column: nearest neighbours and their distance in Å.
Fractional positions:
Pd (0.6837, 0.9204, 0.3675)  3 Fe 2.67-2.78, 8 Pd 2.69-2.88, 1 Bi 2.79
Pd (0.9540, 0.2752, 0.9080)  1 Fe 2.67, 8 Pd 2.78-2.95, 2 Bi 2.85
Pd (0.3163, 0.0796, 0.6325)  3 Fe 2.67-2.78, 8 Pd 2.69-2.88, 1 Bi 2.79
Pd (0.0460, 0.7248, 0.0920)  1 Fe 2.67, 8 Pd 2.78-2.95, 2 Bi 2.85
Pd (0.1538, 0.2205, 0.3075)  3 Fe 2.63-2.65, 5 Pd 2.69-2.88
Pd (0.3975, 0.5290, 0.7951)  3 Fe 2.68-2.80, 7 Pd 2.76-2.93, 1 Bi 2.93
Pd (0.6025, 0.4710, 0.2049)  3 Fe 2.68-2.80, 7 Pd 2.76-2.93, 1 Bi 2.93
Pd (0.8462, 0.7795, 0.6925)  3 Fe 2.63-2.65, 5 Pd 2.69-2.88
Bi (0.5000, 0.0000, 0.0000)  12 Pd 2.79-3.01
Fe (0.2223, 0.6519, 0.4447)  10 Pd 2.63-2.80
Fe (0.7777, 0.3481, 0.5553)  10 Pd 2.63-2.80

## Properties
DOS(E_F) ... 7.2 states/eV/f.u.
Magnetization ... 8.095 μB per cell
E_form ... -0.1340 eV per atom
Crystal system ... monoclinic
Total energy ... -63.82 eV per cell

No. 6
The following is a PBE calculation of MgIn2AgS4 after structural relaxation, from Alexandria via LeMat-Bulk.

Lattice parameters (Å, degrees): 6.1975 6.1975 6.1975 109.32 109.32 109.77
Last column: nearest neighbours and their distance in Å.
Fractional positions:
Mg (0.0000, 0.0000, 0.0000)  4 S 2.49
S (0.9450, 0.9450, 0.3617)  1 Mg 2.49, 1 Ag 2.63, 2 In 2.63
S (0.0550, 0.4167, 0.0000)  1 Mg 2.49, 1 Ag 2.63, 2 In 2.63
S (0.5833, 0.5833, 0.6383)  1 Mg 2.49, 1 Ag 2.63, 2 In 2.63
S (0.4167, 0.0550, 0.0000)  1 Mg 2.49, 1 Ag 2.63, 2 In 2.63
In (0.2500, 0.7500, 0.5000)  4 S 2.63
In (0.7500, 0.2500, 0.5000)  4 S 2.63
Ag (0.5000, 0.5000, 0.0000)  4 S 2.63

## Properties
DOS(E_F) ... 3.7 states/eV/f.u.
Magnetization ... 0.000 μB per cell
Crystal system ... tetragonal
Total energy ... -29.62 eV per cell
E_form (uncorrected) ... -0.399 eV per atom